A plane-wave DFT calculation with PBE was carried out for a relaxed structure of Ce3Sb2AsRh8.

The space group is P-3m1 (No. 164) and the conventional cell measures 5.5278, 5.5278 and 9.8181 Å, with angles of 90.00, 90.00 and 120.00 degrees. Symmetry generates all atoms from Ce at (0.0000, 0.0000, 0.0000), Ce at (0.3333, 0.6667, 0.5627), Sb at (0.3333, 0.6667, 0.0873), As at (0.0000, 0.0000, 0.5000), Rh at (0.1647, 0.3293, 0.2954) and Rh at (0.3333, 0.6667, 0.8160).

For the formation energy without anion corrections, the calculation gives -0.65 eV per atom. Its electronic total energy is -7.040 eV per atom.

---

A plane-wave DFT calculation with PBE was carried out for a relaxed structure of Pr4ThSe6.

The space group is Cmcm (No. 63) and the conventional cell measures 4.153, 13.989 and 21.262 Å, with angles of 90.00, 90.00 and 90.00 degrees. Symmetry generates all atoms from Pr at (0.000, 0.085, 0.127), Pr at (0.000, 0.359, 0.038), Th at (0.000, 0.156, 0.750), Se at (0.000, 0.000, 0.000), Se at (0.000, 0.194, 0.250), Se at (0.000, 0.269, 0.596) and Se at (0.000, 0.443, 0.170).

For the formation energy without anion corrections, the calculation gives -1.80 eV per atom. Its electronic total energy is -6.109 eV per atom.

---

A plane-wave DFT calculation with PBE was carried out for a relaxed structure of Tc3OsPt.

The space group is Pm-3m (No. 221) and the conventional cell measures 4.629, 4.629 and 4.629 Å, with angles of 90.00, 90.00 and 90.00 degrees. Symmetry generates all atoms from Tc at (0.000, 0.000, 0.500), Os at (0.000, 0.000, 0.000) and Pt at (0.500, 0.500, 0.500).

Its energy above the most stable polymorph in this dataset is 0.00 kJ/mol of atoms. The value obtained for the formation energy is 1.788 eV/atom. Its electronic total energy is -7.885 eV per atom.

---

A plane-wave DFT calculation with PBE was carried out for a relaxed structure of SrAcMgHg.

The space group is F-43m (No. 216) and the conventional cell measures 8.151, 8.151 and 8.151 Å, with angles of 90.00, 90.00 and 90.00 degrees. Symmetry generates all atoms from Sr at (0.000, 0.000, 0.000), Ac at (0.000, 0.000, 0.500), Mg at (0.250, 0.250, 0.250) and Hg at (0.250, 0.250, 0.750).

Its energy above the most stable polymorph in this dataset is 1.40 kJ/mol of atoms. The value obtained for the formation energy is -0.271 eV/atom. Its electronic total energy is -2.193 eV per atom.

---

A plane-wave DFT calculation with PBE was carried out for a relaxed structure of Sr2ZrTl.

The space group is F-43m (No. 216) and the conventional cell measures 8.004, 8.004 and 8.004 Å, with angles of 90.00, 90.00 and 90.00 degrees. Symmetry generates all atoms from Sr at (0.000, 0.000, 0.000), Sr at (0.250, 0.250, 0.250), Zr at (0.000, 0.000, 0.500) and Tl at (0.250, 0.250, 0.750).

Its energy above the most stable polymorph in this dataset is 20.06 kJ/mol of atoms. The value obtained for the formation energy is 0.329 eV/atom. Its electronic total energy is -3.240 eV per atom.

---

A plane-wave DFT calculation with PBE was carried out for a relaxed structure of TbTe2H.

The space group is Cc (No. 9) and the conventional cell measures 15.042, 4.421 and 7.988 Å, with angles of 90.00, 109.79 and 90.00 degrees. Symmetry generates all atoms from Tb at (0.000, 0.210, 0.000), Te at (0.110, 0.288, 0.394), Te at (0.374, 0.215, 0.098) and H at (0.264, 0.370, 0.001).

Its electronic total energy is -4.300 eV per atom.

---

A plane-wave DFT calculation with PBE was carried out for a relaxed structure of K2NaF.

The space group is I-42d (No. 122) and the conventional cell measures 8.078, 8.078 and 10.867 Å, with angles of 90.00, 90.00 and 90.00 degrees. Symmetry generates all atoms from K at (0.085, 0.750, 0.125), Na at (0.000, 0.000, 0.500) and F at (0.000, 0.000, 0.000).

For the formation energy without anion corrections, the calculation gives -1.27 eV per atom. Its energy above the most stable polymorph in this dataset is 1.46 kJ/mol of atoms. Its electronic total energy is -2.621 eV per atom.

---

A plane-wave DFT calculation with PBE was carried out for a relaxed structure of KFeAs2Br.

The space group is P4/mmm (No. 123) and the conventional cell measures 5.684, 5.684 and 5.630 Å, with angles of 90.00, 90.00 and 90.00 degrees. Symmetry generates all atoms from K at (0.000, 0.000, 0.000), Fe at (0.500, 0.500, 0.500), As at (0.000, 0.500, 0.000) and Br at (0.000, 0.000, 0.500).

For the formation energy without anion corrections, the calculation gives 1.54 eV per atom. Its energy above the most stable polymorph in this dataset is 172.93 kJ/mol of atoms. Its electronic total energy is -2.565 eV per atom.

---

A plane-wave DFT calculation with PBE was carried out for a relaxed structure of YNbSn2F.

The space group is P4/mmm (No. 123) and the conventional cell measures 5.499, 5.499 and 4.069 Å, with angles of 90.00, 90.00 and 90.00 degrees. Symmetry generates all atoms from Y at (0.000, 0.000, 0.000), Nb at (0.500, 0.500, 0.500), Sn at (0.000, 0.500, 0.500) and F at (0.500, 0.500, 0.000).

For the formation energy without anion corrections, the calculation gives -0.66 eV per atom. Its electronic total energy is -5.943 eV per atom.

---

A plane-wave DFT calculation with PBE was carried out for a relaxed structure of TbIr4Au.

The space group is F-43m (No. 216) and the conventional cell measures 7.486, 7.486 and 7.486 Å, with angles of 90.00, 90.00 and 90.00 degrees. Symmetry generates all atoms from Tb at (0.000, 0.000, 0.000), Ir at (0.125, 0.125, 0.625) and Au at (0.250, 0.250, 0.250).

The value obtained for the formation energy is -0.245 eV/atom. Its electronic total energy is -7.471 eV per atom.

---

A plane-wave DFT calculation with PBE was carried out for a relaxed structure of Sr2PrTmS4.

The space group is P2/m (No. 10) and the conventional cell measures 7.084, 4.075 and 7.210 Å, with angles of 90.00, 108.95 and 90.00 degrees. Symmetry generates all atoms from Sr at (0.000, 0.000, 0.000), Sr at (0.500, 0.500, 0.000), Pr at (0.000, 0.500, 0.500), Tm at (0.500, 0.000, 0.500), S at (0.258, 0.000, 0.737) and S at (0.268, 0.500, 0.271).

For the formation energy without anion corrections, the calculation gives -2.02 eV per atom. Its electronic total energy is -5.659 eV per atom.

---

A plane-wave DFT calculation with PBE was carried out for a relaxed structure of TaIn2TeOs.

The space group is P4/mmm (No. 123) and the conventional cell measures 5.465, 5.465 and 5.165 Å, with angles of 90.00, 90.00 and 90.00 degrees. Symmetry generates all atoms from Ta at (0.000, 0.000, 0.000), In at (0.000, 0.500, 0.000), Te at (0.000, 0.000, 0.500) and Os at (0.500, 0.500, 0.500).

For the formation energy without anion corrections, the calculation gives 1.62 eV per atom. Its electronic total energy is -4.723 eV per atom.

---

> Which formula does entry 4 have?

SrAcMgHg

---

> What is the electronic total energy in the ninth record?

-5.943 eV per atom

---

> Which value of electronic total energy does entry 9 give?

-5.943 eV per atom

---

Please write out number 12 again, unchanged.
A plane-wave DFT calculation with PBE was carried out for a relaxed structure of TaIn2TeOs.

The space group is P4/mmm (No. 123) and the conventional cell measures 5.465, 5.465 and 5.165 Å, with angles of 90.00, 90.00 and 90.00 degrees. Symmetry generates all atoms from Ta at (0.000, 0.000, 0.000), In at (0.000, 0.500, 0.000), Te at (0.000, 0.000, 0.500) and Os at (0.500, 0.500, 0.500).

For the formation energy without anion corrections, the calculation gives 1.62 eV per atom. Its electronic total energy is -4.723 eV per atom.